No. 1
Material: BeIr2Br
Method: DFT, PBE-GGA
State: optimized geometry

CIF file:
```
data_BeIr2Br
_chemical_formula_sum 'Be1 Ir2 Br1'
_space_group_name_H-M_alt 'P 1 2/m 1'
_space_group_IT_number 10
_space_group_name_Hall '-P 2y'
_cell_length_a 3.037
_cell_length_b 4.263
_cell_length_c 4.695
_cell_angle_alpha 90.00
_cell_angle_beta 90.54
_cell_angle_gamma 90.00
loop_
_atom_site_label
_atom_site_fract_x
_atom_site_fract_y
_atom_site_fract_z
_atom_site_occupancy
Be1 0.000 0.000 0.000 1
Ir1 0.232 0.500 0.230 1
Br1 0.500 0.000 0.500 1
```

=====

No. 2
Material: BeIrBr2
Method: DFT, PBE-GGA
State: optimized geometry

CIF file:
```
data_BeIrBr2
_chemical_formula_sum 'Be1 Ir1 Br2'
_space_group_name_H-M_alt 'P m m m'
_space_group_IT_number 47
_space_group_name_Hall '-P 2 2'
_cell_length_a 3.189
_cell_length_b 4.006
_cell_length_c 6.034
_cell_angle_alpha 90.00
_cell_angle_beta 90.00
_cell_angle_gamma 90.00
loop_
_atom_site_label
_atom_site_fract_x
_atom_site_fract_y
_atom_site_fract_z
_atom_site_occupancy
Be1 0.000 0.000 0.000 1
Ir1 0.500 0.000 0.500 1
Br1 0.000 0.500 0.500 1
Br2 0.500 0.500 0.000 1
```

=====

No. 3
Material: Be2IrBr
Method: DFT, PBE-GGA
State: optimized geometry

CIF file:
```
data_Be2IrBr
_chemical_formula_sum 'Be4 Ir2 Br2'
_space_group_name_H-M_alt 'I -4 m 2'
_space_group_IT_number 119
_space_group_name_Hall 'I -4 -2'
_cell_length_a 3.217
_cell_length_b 3.217
_cell_length_c 11.612
_cell_angle_alpha 90.00
_cell_angle_beta 90.00
_cell_angle_gamma 90.00
loop_
_atom_site_label
_atom_site_fract_x
_atom_site_fract_y
_atom_site_fract_z
_atom_site_occupancy
Be1 0.000 0.000 0.000 1
Be2 0.000 0.500 0.250 1
Ir1 0.000 0.000 0.500 1
Br1 0.000 0.500 0.750 1
```

=====

No. 4
Material: Be2IrBr
Method: DFT, PBE-GGA
State: optimized geometry

CIF file:
```
data_Be2IrBr
_chemical_formula_sum 'Be4 Ir2 Br2'
_space_group_name_H-M_alt 'I 4/m m m'
_space_group_IT_number 139
_space_group_name_Hall '-I 4 2'
_cell_length_a 3.795
_cell_length_b 3.795
_cell_length_c 7.339
_cell_angle_alpha 90.00
_cell_angle_beta 90.00
_cell_angle_gamma 90.00
loop_
_atom_site_label
_atom_site_fract_x
_atom_site_fract_y
_atom_site_fract_z
_atom_site_occupancy
Be1 0.000 0.500 0.250 1
Ir1 0.000 0.000 0.000 1
Br1 0.000 0.000 0.500 1
```

=====

No. 5
Material: BeIr2Br
Method: DFT, PBE-GGA
State: optimized geometry

CIF file:
```
data_BeIr2Br
_chemical_formula_sum 'Be2 Ir4 Br2'
_space_group_name_H-M_alt 'C 1 m 1'
_space_group_IT_number 8
_space_group_name_Hall 'C -2y'
_cell_length_a 8.940
_cell_length_b 2.735
_cell_length_c 7.842
_cell_angle_alpha 90.00
_cell_angle_beta 110.01
_cell_angle_gamma 90.00
loop_
_atom_site_label
_atom_site_fract_x
_atom_site_fract_y
_atom_site_fract_z
_atom_site_occupancy
Be1 0.000 0.000 0.000 1
Ir1 0.155 0.500 0.231 1
Ir2 0.367 0.000 0.162 1
Br1 0.459 0.500 0.713 1
```

=====

No. 6
Material: BeIr2Br
Method: DFT, PBE-GGA
State: optimized geometry

CIF file:
```
data_BeIr2Br
_chemical_formula_sum 'Be2 Ir4 Br2'
_space_group_name_H-M_alt 'C m m m'
_space_group_IT_number 65
_space_group_name_Hall '-C 2 2'
_cell_length_a 2.744
_cell_length_b 4.611
_cell_length_c 12.126
_cell_angle_alpha 90.00
_cell_angle_beta 90.00
_cell_angle_gamma 90.00
loop_
_atom_site_label
_atom_site_fract_x
_atom_site_fract_y
_atom_site_fract_z
_atom_site_occupancy
Be1 0.000 0.000 0.000 1
Ir1 0.000 0.500 0.154 1
Br1 0.000 0.000 0.500 1
```

=====

No. 7
Material: BeIrBr2
Method: DFT, PBE-GGA
State: optimized geometry

CIF file:
```
data_BeIrBr2
_chemical_formula_sum 'Be1 Ir1 Br2'
_space_group_name_H-M_alt 'P 1 m 1'
_space_group_IT_number 6
_space_group_name_Hall 'P -2y'
_cell_length_a 3.958
_cell_length_b 3.860
_cell_length_c 7.282
_cell_angle_alpha 90.00
_cell_angle_beta 105.63
_cell_angle_gamma 90.00
loop_
_atom_site_label
_atom_site_fract_x
_atom_site_fract_y
_atom_site_fract_z
_atom_site_occupancy
Be1 0.000 0.000 0.000 1
Ir1 0.918 0.500 0.837 1
Br1 0.328 0.500 0.656 1
Br2 0.588 0.000 0.178 1
```

=====

No. 8
Material: Be2IrBr
Method: DFT, PBE-GGA
State: optimized geometry

CIF file:
```
data_Be2IrBr
_chemical_formula_sum 'Be8 Ir4 Br4'
_space_group_name_H-M_alt 'F -4 3 m'
_space_group_IT_number 216
_space_group_name_Hall 'F -4 2 3'
_cell_length_a 6.033
_cell_length_b 6.033
_cell_length_c 6.033
_cell_angle_alpha 90.00
_cell_angle_beta 90.00
_cell_angle_gamma 90.00
loop_
_atom_site_label
_atom_site_fract_x
_atom_site_fract_y
_atom_site_fract_z
_atom_site_occupancy
Be1 0.000 0.000 0.000 1
Be2 0.250 0.250 0.250 1
Ir1 0.000 0.000 0.500 1
Br1 0.250 0.250 0.750 1
```

=====

No. 9
Material: BeIrBr2
Method: DFT, PBE-GGA
State: optimized geometry

CIF file:
```
data_BeIrBr2
_chemical_formula_sum 'Be2 Ir2 Br4'
_space_group_name_H-M_alt 'I m m m'
_space_group_IT_number 71
_space_group_name_Hall '-I 2 2'
_cell_length_a 3.132
_cell_length_b 6.617
_cell_length_c 7.656
_cell_angle_alpha 90.00
_cell_angle_beta 90.00
_cell_angle_gamma 90.00
loop_
_atom_site_label
_atom_site_fract_x
_atom_site_fract_y
_atom_site_fract_z
_atom_site_occupancy
Be1 0.000 0.000 0.000 1
Ir1 0.000 0.000 0.500 1
Br1 0.000 0.500 0.282 1
```

=====

No. 10
Material: Be2IrBr
Method: DFT, PBE-GGA
State: optimized geometry

CIF file:
```
data_Be2IrBr
_chemical_formula_sum 'Be8 Ir4 Br4'
_space_group_name_H-M_alt 'F m -3 m'
_space_group_IT_number 225
_space_group_name_Hall '-F 4 2 3'
_cell_length_a 5.964
_cell_length_b 5.964
_cell_length_c 5.964
_cell_angle_alpha 90.00
_cell_angle_beta 90.00
_cell_angle_gamma 90.00
loop_
_atom_site_label
_atom_site_fract_x
_atom_site_fract_y
_atom_site_fract_z
_atom_site_occupancy
Be1 0.250 0.250 0.250 1
Ir1 0.000 0.000 0.000 1
Br1 0.000 0.000 0.500 1
```

=====

No. 11
Material: BeIrBr2
Method: DFT, PBE-GGA
State: optimized geometry

CIF file:
```
data_BeIrBr2
_chemical_formula_sum 'Be3 Ir3 Br6'
_space_group_name_H-M_alt 'R -3 m'
_space_group_IT_number 166
_space_group_name_Hall '-R 3 2"'
_cell_length_a 3.1718
_cell_length_b 3.1718
_cell_length_c 34.3361
_cell_angle_alpha 90.00
_cell_angle_beta 90.00
_cell_angle_gamma 120.00
loop_
_atom_site_label
_atom_site_fract_x
_atom_site_fract_y
_atom_site_fract_z
_atom_site_occupancy
Be1 0.0000 0.0000 0.0000 1
Ir1 0.0000 0.0000 0.5000 1
Br1 0.0000 0.0000 0.2916 1
```

=====

No. 12
Material: BeIrBr2
Method: DFT, PBE-GGA
State: optimized geometry

CIF file:
```
data_BeIrBr2
_chemical_formula_sum 'Be2 Ir2 Br4'
_space_group_name_H-M_alt 'I m m 2'
_space_group_IT_number 44
_space_group_name_Hall 'I 2 -2'
_cell_length_a 3.124
_cell_length_b 4.050
_cell_length_c 14.356
_cell_angle_alpha 90.00
_cell_angle_beta 90.00
_cell_angle_gamma 90.00
loop_
_atom_site_label
_atom_site_fract_x
_atom_site_fract_y
_atom_site_fract_z
_atom_site_occupancy
Be1 0.000 0.000 0.000 1
Ir1 0.000 0.500 0.620 1
Br1 0.000 0.000 0.416 1
Br2 0.000 0.500 0.155 1
```

=====

No. 13
Material: Be2IrBr
Method: DFT, PBE-GGA
State: optimized geometry

CIF file:
```
data_Be2IrBr
_chemical_formula_sum 'Be4 Ir2 Br2'
_space_group_name_H-M_alt 'C m m 2'
_space_group_IT_number 35
_space_group_name_Hall 'C 2 -2'
_cell_length_a 2.967
_cell_length_b 4.977
_cell_length_c 8.644
_cell_angle_alpha 90.00
_cell_angle_beta 90.00
_cell_angle_gamma 90.00
loop_
_atom_site_label
_atom_site_fract_x
_atom_site_fract_y
_atom_site_fract_z
_atom_site_occupancy
Be1 0.000 0.000 0.000 1
Be2 0.000 0.500 0.220 1
Ir1 0.000 0.000 0.409 1
Br1 0.000 0.500 0.812 1
```

=====

No. 14
Material: BeIrBr2
Method: DFT, PBE-GGA
State: optimized geometry

CIF file:
```
data_BeIrBr2
_chemical_formula_sum 'Be1 Ir1 Br2'
_space_group_name_H-M_alt 'P 1 2/m 1'
_space_group_IT_number 10
_space_group_name_Hall '-P 2y'
_cell_length_a 3.544
_cell_length_b 4.111
_cell_length_c 5.317
_cell_angle_alpha 90.00
_cell_angle_beta 94.19
_cell_angle_gamma 90.00
loop_
_atom_site_label
_atom_site_fract_x
_atom_site_fract_y
_atom_site_fract_z
_atom_site_occupancy
Be1 0.000 0.000 0.000 1
Ir1 0.500 0.000 0.500 1
Br1 0.257 0.500 0.250 1
```

=====

No. 15
Material: BeIrBr2
Method: DFT, PBE-GGA
State: optimized geometry

CIF file:
```
data_BeIrBr2
_chemical_formula_sum 'Be4 Ir4 Br8'
_space_group_name_H-M_alt 'F m m m'
_space_group_IT_number 69
_space_group_name_Hall '-F 2 2'
_cell_length_a 6.385
_cell_length_b 7.095
_cell_length_c 7.117
_cell_angle_alpha 90.00
_cell_angle_beta 90.00
_cell_angle_gamma 90.00
loop_
_atom_site_label
_atom_site_fract_x
_atom_site_fract_y
_atom_site_fract_z
_atom_site_occupancy
Be1 0.000 0.000 0.000 1
Ir1 0.000 0.000 0.500 1
Br1 0.000 0.250 0.250 1
```

=====

No. 16
Material: BeIr2Br
Method: DFT, PBE-GGA
State: optimized geometry

CIF file:
```
data_BeIr2Br
_chemical_formula_sum 'Be2 Ir4 Br2'
_space_group_name_H-M_alt 'C m m m'
_space_group_IT_number 65
_space_group_name_Hall '-C 2 2'
_cell_length_a 5.860
_cell_length_b 6.646
_cell_length_c 2.945
_cell_angle_alpha 90.00
_cell_angle_beta 90.00
_cell_angle_gamma 90.00
loop_
_atom_site_label
_atom_site_fract_x
_atom_site_fract_y
_atom_site_fract_z
_atom_site_occupancy
Be1 0.000 0.000 0.000 1
Ir1 0.250 0.250 0.500 1
Br1 0.000 0.500 0.000 1
```

=====

No. 17
Material: BeIr2Br
Method: DFT, PBE-GGA
State: optimized geometry

CIF file:
```
data_BeIr2Br
_chemical_formula_sum 'Be3 Ir6 Br3'
_space_group_name_H-M_alt 'R -3 m'
_space_group_IT_number 166
_space_group_name_Hall '-R 3 2"'
_cell_length_a 2.8731
_cell_length_b 2.8731
_cell_length_c 24.2624
_cell_angle_alpha 90.00
_cell_angle_beta 90.00
_cell_angle_gamma 120.00
loop_
_atom_site_label
_atom_site_fract_x
_atom_site_fract_y
_atom_site_fract_z
_atom_site_occupancy
Be1 0.0000 0.0000 0.0000 1
Ir1 0.0000 0.0000 0.2614 1
Br1 0.0000 0.0000 0.5000 1
```

=====

No. 18
Material: BeIr2Br
Method: DFT, PBE-GGA
State: optimized geometry

CIF file:
```
data_BeIr2Br
_chemical_formula_sum 'Be2 Ir4 Br2'
_space_group_name_H-M_alt 'C 1 2/m 1'
_space_group_IT_number 12
_space_group_name_Hall '-C 2y'
_cell_length_a 5.561
_cell_length_b 8.585
_cell_length_c 2.982
_cell_angle_alpha 90.00
_cell_angle_beta 122.36
_cell_angle_gamma 90.00
loop_
_atom_site_label
_atom_site_fract_x
_atom_site_fract_y
_atom_site_fract_z
_atom_site_occupancy
Be1 0.000 0.000 0.000 1
Ir1 0.250 0.250 0.000 1
Br1 0.000 0.500 0.000 1
```

=====

No. 19
Material: BeIr2Br
Method: DFT, PBE-GGA
State: optimized geometry

CIF file:
```
data_BeIr2Br
_chemical_formula_sum 'Be2 Ir4 Br2'
_space_group_name_H-M_alt 'I 4/m m m'
_space_group_IT_number 139
_space_group_name_Hall '-I 4 2'
_cell_length_a 4.078
_cell_length_b 4.078
_cell_length_c 6.906
_cell_angle_alpha 90.00
_cell_angle_beta 90.00
_cell_angle_gamma 90.00
loop_
_atom_site_label
_atom_site_fract_x
_atom_site_fract_y
_atom_site_fract_z
_atom_site_occupancy
Be1 0.000 0.000 0.000 1
Ir1 0.000 0.500 0.250 1
Br1 0.000 0.000 0.500 1
```

=====

No. 20
Material: BeIrBr2
Method: DFT, PBE-GGA
State: optimized geometry

CIF file:
```
data_BeIrBr2
_chemical_formula_sum 'Be2 Ir2 Br4'
_space_group_name_H-M_alt 'I -4 m 2'
_space_group_IT_number 119
_space_group_name_Hall 'I -4 -2'
_cell_length_a 3.560
_cell_length_b 3.560
_cell_length_c 12.944
_cell_angle_alpha 90.00
_cell_angle_beta 90.00
_cell_angle_gamma 90.00
loop_
_atom_site_label
_atom_site_fract_x
_atom_site_fract_y
_atom_site_fract_z
_atom_site_occupancy
Be1 0.000 0.000 0.000 1
Ir1 0.000 0.500 0.250 1
Br1 0.000 0.000 0.500 1
Br2 0.000 0.500 0.750 1
```

=====

| no. | formation energy without anion corrections (eV per atom) |
| --- | --- |
| 1 | 0.66 |
| 2 | 0.87 |
| 3 | 0.58 |
| 4 | 0.65 |
| 5 | 0.27 |
| 6 | 0.37 |
| 7 | 0.12 |
| 8 | 0.82 |
| 9 | 0.80 |
| 10 | 0.78 |
| 11 | 0.59 |
| 12 | 0.41 |
| 13 | 0.58 |
| 14 | 0.88 |
| 15 | 0.79 |
| 16 | 0.77 |
| 17 | 0.47 |
| 18 | 0.70 |
| 19 | 0.87 |
| 20 | 0.93 |